Record 1
DFT (PBE-GGA) results for an optimized crystal structure of KLi2ScI6.

Values from the calculation:
symmetry	R3 (146)
final energy	-3.285	eV/atom
Fermi-level density of states	0.0	states/eV per cell
formation energy (no corrections)	-1.23	eV per atom
mass density	3861	kg/m³

abc: 8.4126 8.4126 8.4126
angles: 54.76 54.76 54.76
With the nearest neighbours (Å) after each atom.
Atoms (fractional coordinates):
K 0.0000 0.0000 0.0000  6 I 3.40-3.56
Li 0.1915 0.1915 0.1915  6 I 2.93-3.19
Li 0.6995 0.6995 0.6995  6 I 3.07-3.13
Sc 0.5147 0.5147 0.5147  6 I 2.92
I 0.1179 0.4518 0.7614  1 Sc 2.92, 2 Li 3.07-3.19
I 0.3384 0.9198 0.5407  1 Sc 2.92, 2 Li 2.93-3.13
I 0.4518 0.7614 0.1179  1 Sc 2.92, 2 Li 3.07-3.19
I 0.5407 0.3384 0.9198  1 Sc 2.92, 2 Li 2.93-3.13
I 0.7614 0.1179 0.4518  1 Sc 2.92, 2 Li 3.07-3.19
I 0.9198 0.5407 0.3384  1 Sc 2.92, 2 Li 2.93-3.13

=====

Record 2
DFT (PBE-GGA) results for an optimized crystal structure of K2LiScI6.

Values from the calculation:
symmetry	P2_1/c (14)
final energy	-3.285	eV/atom
Fermi-level density of states	0.0	states/eV per cell
formation energy (no corrections)	-1.31	eV per atom
mass density	3854	kg/m³

abc: 8.0274 8.3681 13.9391
angles: 90.00 124.87 90.00
With the nearest neighbours (Å) after each atom.
Atoms (fractional coordinates):
K 0.2234 0.0787 0.2492  8 I 3.55-3.95
K 0.2234 0.4213 0.7492  8 I 3.55-3.95
K 0.7766 0.5787 0.2508  8 I 3.55-3.95
K 0.7766 0.9213 0.7508  8 I 3.55-3.95
Li 0.0000 0.0000 0.5000  6 I 3.00-3.10
Li 0.0000 0.5000 0.0000  6 I 3.00-3.10
Sc 0.5000 0.0000 0.0000  6 I 2.91-2.92
Sc 0.5000 0.5000 0.5000  6 I 2.91-2.92
I 0.1582 0.1922 0.9542  1 Sc 2.92, 1 Li 3.10
I 0.1582 0.3078 0.4542  1 Sc 2.92, 1 Li 3.10
I 0.2683 0.7073 0.9570  1 Sc 2.92, 1 Li 3.08
I 0.2683 0.7927 0.4570  1 Sc 2.92, 1 Li 3.08
I 0.3450 0.0120 0.7538  1 Sc 2.91, 1 Li 3.00
I 0.3450 0.4880 0.2538  1 Sc 2.91, 1 Li 3.00
I 0.6550 0.5120 0.7462  1 Sc 2.91, 1 Li 3.00
I 0.6550 0.9880 0.2462  1 Sc 2.91, 1 Li 3.00
I 0.7317 0.2073 0.5430  1 Sc 2.92, 1 Li 3.08
I 0.7317 0.2927 0.0430  1 Sc 2.92, 1 Li 3.08
I 0.8418 0.6922 0.5458  1 Sc 2.92, 1 Li 3.10
I 0.8418 0.8078 0.0458  1 Sc 2.92, 1 Li 3.10

=====

Record 3
DFT (PBE-GGA) results for an optimized crystal structure of KLiSmI5.

Values from the calculation:
symmetry	C2/c (15)
final energy	-3.293	eV/atom
Fermi-level density of states	0.0	states/eV per cell
formation energy (no corrections)	-1.36	eV per atom
mass density	3782	kg/m³

abc: 8.5114 8.5114 11.5065
angles: 103.38 103.38 107.84
With the nearest neighbours (Å) after each atom.
Atoms (fractional coordinates):
K 0.1390 0.8610 0.7500  5 I 3.55-3.73
K 0.8610 0.1390 0.2500  5 I 3.55-3.73
Li 0.1917 0.8083 0.2500  4 I 2.75-2.81
Li 0.8083 0.1917 0.7500  4 I 2.75-2.81
Sm 0.5000 0.5000 0.0000  6 I 3.09-3.13
Sm 0.5000 0.5000 0.5000  6 I 3.09-3.13
I 0.1171 0.2542 0.9386  1 Li 2.81, 1 Sm 3.09
I 0.1771 0.5728 0.3799  1 Li 2.75
I 0.2542 0.1171 0.4386  1 Li 2.81, 1 Sm 3.09
I 0.4102 0.5898 0.7500  2 Sm 3.13
I 0.4272 0.8229 0.1201  1 Li 2.75
I 0.5728 0.1771 0.8799  1 Li 2.75
I 0.5898 0.4102 0.2500  2 Sm 3.13
I 0.7458 0.8829 0.5614  1 Li 2.81, 1 Sm 3.09
I 0.8229 0.4272 0.6201  1 Li 2.75
I 0.8829 0.7458 0.0614  1 Li 2.81, 1 Sm 3.09

=====

Please write out number 1 again, unchanged.
DFT (PBE-GGA) results for an optimized crystal structure of KLi2ScI6.

Values from the calculation:
symmetry	R3 (146)
final energy	-3.285	eV/atom
Fermi-level density of states	0.0	states/eV per cell
formation energy (no corrections)	-1.23	eV per atom
mass density	3861	kg/m³

abc: 8.4126 8.4126 8.4126
angles: 54.76 54.76 54.76
With the nearest neighbours (Å) after each atom.
Atoms (fractional coordinates):
K 0.0000 0.0000 0.0000  6 I 3.40-3.56
Li 0.1915 0.1915 0.1915  6 I 2.93-3.19
Li 0.6995 0.6995 0.6995  6 I 3.07-3.13
Sc 0.5147 0.5147 0.5147  6 I 2.92
I 0.1179 0.4518 0.7614  1 Sc 2.92, 2 Li 3.07-3.19
I 0.3384 0.9198 0.5407  1 Sc 2.92, 2 Li 2.93-3.13
I 0.4518 0.7614 0.1179  1 Sc 2.92, 2 Li 3.07-3.19
I 0.5407 0.3384 0.9198  1 Sc 2.92, 2 Li 2.93-3.13
I 0.7614 0.1179 0.4518  1 Sc 2.92, 2 Li 3.07-3.19
I 0.9198 0.5407 0.3384  1 Sc 2.92, 2 Li 2.93-3.13